[1]
NdPuCdSn | PBE | optimized geometry

a = 7.6614 Å, b = 7.6614 Å, c = 7.6614 Å
α = 90.00°, β = 90.00°, γ = 90.00°
Space group F-43m (No. 216)
Symmetry-distinct sites (fractional):
Nd  0.0000  0.0000  0.0000
Pu  0.0000  0.0000  0.5000
Cd  0.2500  0.2500  0.7500
Sn  0.2500  0.2500  0.2500

* energy of formation from the pure elements: -0.327 eV per atom
* calculated total energy: -6.331 eV per atom



[2]
Pr4SmAl | PBE | optimized geometry

a = 9.0998 Å, b = 14.2337 Å, c = 6.4723 Å
α = 90.00°, β = 109.27°, γ = 90.00°
Space group C2/c (No. 15)
Symmetry-distinct sites (fractional):
Pr  0.1011  0.1822  0.0496
Pr  0.2203  0.3895  0.3735
Sm  0.0000  0.4076  0.7500
Al  0.0000  0.9999  0.2500

* energy of formation from the pure elements: -0.029 eV per atom
* distance to the lowest polymorph of the same formula: 61 meV per atom
* calculated total energy: -4.626 eV per atom



[3]
PmTh2PdRh5 | PBE | optimized geometry

a = 8.3849 Å, b = 8.3849 Å, c = 10.8690 Å
α = 90.00°, β = 90.00°, γ = 90.00°
Space group I4/mcm (No. 140)
Symmetry-distinct sites (fractional):
Pm  0.0000  0.0000  0.2500
Th  0.1395  0.3605  0.0000
Pd  0.0000  0.5000  0.2500
Rh  0.0000  0.0000  0.0000
Rh  0.1882  0.3118  0.3656

* energy of formation from the pure elements: -0.385 eV per atom
* calculated total energy: -7.223 eV per atom



[4]
Th2ReS | PBE | optimized geometry

a = 3.5006 Å, b = 3.5006 Å, c = 27.9510 Å
α = 90.00°, β = 90.00°, γ = 120.00°
Space group R-3m (No. 166, hexagonal axes)
Symmetry-distinct sites (fractional):
Th  0.0000  0.0000  0.0928
Re  0.0000  0.0000  0.0000
S  0.0000  0.0000  0.5000

* ΔE_f (raw): 0.03 eV/atom
* calculated total energy: -7.827 eV per atom



[5]
HoGa2Co3 | PBE | optimized geometry

a = 8.9679 Å, b = 8.9679 Å, c = 3.8127 Å
α = 90.00°, β = 90.00°, γ = 120.00°
Space group P6/mmm (No. 191)
Symmetry-distinct sites (fractional):
Ho  0.0000  0.0000  0.0000
Ho  0.3333  0.6667  0.5000
Ga  0.0000  0.3180  0.5000
Co  0.0000  0.5000  0.0000
Co  0.1824  0.3648  0.0000

* energy of formation from the pure elements: -0.380 eV per atom
* calculated total energy: -5.705 eV per atom



[6]
Ba2LaNbCu2O8 | PBE | optimized geometry

a = 5.6409 Å, b = 5.6409 Å, c = 24.6848 Å
α = 90.00°, β = 90.00°, γ = 90.00°
Space group I4/mcm (No. 140)
Symmetry-distinct sites (fractional):
Ba  0.0000  0.5000  0.0977
La  0.0000  0.5000  0.2500
Nb  0.0000  0.0000  0.0000
Cu  0.0000  0.0000  0.1790
O  0.0000  0.0000  0.0808
O  0.2024  0.2976  0.0000
O  0.2492  0.2507  0.3136

* ΔE_f (raw): -2.30 eV/atom
* calculated total energy: -7.063 eV per atom